(1)
Cr2ReIr | PBE | relaxed

Computed properties:
space group = No. 139
magnetization = 0.00 μB per atom

a = 4.584 Å, b = 4.584 Å, c = 4.584 Å
α = 131.12°, β = 131.10°, γ = 71.64°
Element x y z (fractional)
Re 0.250 0.750 0.500
Ir 0.750 0.250 0.500
Cr 0.500 0.500 0.000
Cr 0.000 0.000 0.000



(2)
Cr3ReIr | PBE | relaxed

Computed properties:
space group = No. 221
magnetization = 0.00 μB per atom

a = 4.401 Å, b = 4.401 Å, c = 4.401 Å
α = 90.00°, β = 90.00°, γ = 90.00°
Element x y z (fractional)
Ir 0.500 0.500 0.500
Cr 0.000 0.000 0.500
Cr 0.500 0.000 0.000
Cr 0.000 0.500 0.000
Re 0.000 0.000 0.000



(3)
Cr2ReIr | PBE | relaxed

Computed properties:
space group = No. 122
magnetization = 0.00 μB per atom

a = 3.796 Å, b = 3.796 Å, c = 8.680 Å
α = 77.37°, β = 77.37°, γ = 90.00°
Element x y z (fractional)
Cr 0.614 0.125 0.250
Cr 0.375 0.386 0.750
Cr 0.875 0.864 0.750
Cr 0.136 0.625 0.250
Ir 0.000 0.000 0.000
Ir 0.750 0.250 0.500
Re 0.250 0.750 0.500
Re 0.500 0.500 0.000



(4)
CrRe2Ir | PBE | relaxed

Computed properties:
space group = No. 225
ΔE to the lowest computed polymorph = 0.4179 eV per atom
magnetization = 0.05 μB per atom

a = 4.330 Å, b = 4.330 Å, c = 4.330 Å
α = 60.00°, β = 60.00°, γ = 60.00°
Last column: magnetic moment on the atom in μB.
Element x y z (fractional)
Re 0.250 0.250 0.250  0.04
Re 0.750 0.750 0.750  0.04
Cr 0.000 0.000 0.000  -0.01
Ir 0.500 0.500 0.500  0.12



no.,formation enthalpy at 0 K (eV/atom)
1,0.007
2,1.767
3,0.732
4,0.371